Density functional theory data (GGA-PBE) for AlTe2Ru after structural relaxation.

For the total moment, the calculation gives 0.00 μB per cell.

It has space group R-3m (No. 166, hexagonal axes), with a = 4.0263 Å, b = 4.0263 Å, c = 19.3678 Å, α = 90.00°, β = 90.00° and γ = 120.00°. The distinct sites, in fractional coordinates, are Al at (0.0000, 0.0000, 0.0000), Te at (0.0000, 0.0000, 0.2386) and Ru at (0.0000, 0.0000, 0.5000).

***

Density functional theory data (GGA-PBE) for AlTe2Ru after structural relaxation.

For the total moment, the calculation gives 0.00 μB per cell.

It has space group F-43m (No. 216), with a = 6.909 Å, b = 6.909 Å, c = 6.909 Å, α = 90.00°, β = 90.00° and γ = 90.00°. The distinct sites, in fractional coordinates, are Al at (0.000, 0.000, 0.000), Te at (0.000, 0.000, 0.500), Te at (0.250, 0.250, 0.250) and Ru at (0.250, 0.250, 0.750).

***

Density functional theory data (GGA-PBE) for AlTe2Ru after structural relaxation.

For the total moment, the calculation gives 0.00 μB per cell.

It has space group I-4m2 (No. 119), with a = 4.430 Å, b = 4.430 Å, c = 8.317 Å, α = 90.00°, β = 90.00° and γ = 90.00°. The distinct sites, in fractional coordinates, are Al at (0.000, 0.000, 0.000), Te at (0.000, 0.000, 0.500), Te at (0.000, 0.500, 0.250) and Ru at (0.000, 0.500, 0.750).

***

Density functional theory data (GGA-PBE) for AlTeRu2 after structural relaxation.

For the total moment, the calculation gives 1.16 μB per cell. For the excess energy over the best structure of this formula in the dataset, the calculation gives 563 meV per atom.

It has space group F-43m (No. 216), with a = 6.425 Å, b = 6.425 Å, c = 6.425 Å, α = 90.00°, β = 90.00° and γ = 90.00°. The distinct sites, in fractional coordinates, are Al at (0.000, 0.000, 0.000), Te at (0.250, 0.250, 0.750), Ru at (0.000, 0.000, 0.500) and Ru at (0.250, 0.250, 0.250).

***

Computed E, in the same sequence as the records: -4.79 -4.24 -4.34 -5.94 eV per atom.